Entry from Alexandria: a geometry-optimized K5C structure (PBE).

abc: 8.284 8.284 8.284
angles: 60.00 60.00 60.00
Element x y z (fractional)
K  0.000  0.000  0.000
K  0.128  0.624  0.624
K  0.624  0.128  0.624
K  0.624  0.624  0.128
K  0.624  0.624  0.624
C  0.250  0.250  0.250

Computed properties:
ΔH_f (0 K) ... 25.9 kcal/mol of atoms
D(E_F) ... 3.37 states/eV per cell
Energy ... -1.328 eV/atom



Entry from Alexandria: a geometry-optimized K2SrBe structure (PBE).

abc: 4.583 4.583 34.112
angles: 90.00 90.00 120.00
Element x y z (fractional)
K  0.000  0.000  0.000
K  0.000  0.000  0.216
K  0.333  0.667  0.667
K  0.333  0.667  0.883
K  0.667  0.333  0.333
K  0.667  0.333  0.550
Sr  0.000  0.000  0.442
Sr  0.333  0.667  0.108
Sr  0.667  0.333  0.775
Be  0.000  0.000  0.728
Be  0.333  0.667  0.394
Be  0.667  0.333  0.061

Computed properties:
ΔH_f (0 K) ... 11.6 kcal/mol of atoms
D(E_F) ... 10.95 states/eV per cell
Energy ... -1.399 eV/atom